(1)
# TlInPdS3

TlInPdS3 after structural relaxation (GGA-PBE, the Open Quantum Materials Database).

```
12
Lattice="-1.2901 -3.4618 6.4224 3.6051 0.1428 0.8012 -0.8347 11.3212 1.7387" Properties=species:S:1:pos:R:3 pbc="T T T"
In -0.3822 -1.8916 6.3193
In 1.8625 9.8937 2.6430
Pd 2.3616 4.5406 1.3508
Pd -0.8813 3.4615 7.6114
S 2.3638 0.8695 1.9951
S 1.5696 -0.3025 5.7778
S 0.2443 4.7281 2.3207
S 1.2360 3.2740 6.6416
S -0.0893 8.3047 3.1844
S -0.8835 7.1327 6.9671
Tl -0.0100 1.7659 3.9926
Tl 1.4903 6.2362 4.9696
```

Calculated values
offset from the most stable computed form: 0.00 eV/f.u.
space group: P2_1/m
crystal system: monoclinic
uncorrected energy: -49.102 eV for the cell shown


(2)
# TlInPdS3

TlInPdS3 after structural relaxation (GGA-PBE, the Open Quantum Materials Database).

```
24
Lattice="-13.1575 2.1842 4.5284 -0.5127 -3.8368 0.3610 3.6051 0.4821 10.2423" Properties=species:S:1:pos:R:3 pbc="T T T"
In -6.5755 0.2637 3.9312
In 0.7874 -0.7235 3.8947
In -10.8524 -0.4470 11.2370
In -3.4896 -1.4342 11.2006
Pd -0.0872 -2.8339 1.1570
Pd -5.4840 -1.5838 6.7789
Pd -4.5810 0.4133 8.3529
Pd -9.9779 1.6634 13.9748
S -5.4334 -1.9526 2.9311
S -11.7377 1.0943 5.4283
S -7.7369 -1.3941 5.5961
S -1.1105 -2.4798 3.4673
S -4.1993 0.1306 5.8906
S -10.7889 -0.6970 8.6705
S 0.7239 -0.4736 6.4612
S -5.8657 -1.3011 9.2412
S -8.9545 1.3093 11.6645
S -2.3282 0.2235 9.5356
S 1.6727 -2.2649 9.7034
S -4.6317 0.7821 12.2007
Tl -3.0238 -0.4275 1.6293
Tl -8.1406 0.8601 8.0470
Tl -1.9244 -2.0307 7.0848
Tl -7.0412 -0.7431 13.5024
```

Calculated values
offset from the most stable computed form: 0.14 eV/f.u.
space group: Pnma
crystal system: orthorhombic
uncorrected energy: -97.654 eV for the cell shown


(3)
# InSb2Pd3

InSb2Pd3 after structural relaxation (GGA-PBE, the Open Quantum Materials Database).

```
12
Lattice="6.1799 -3.4986 0.0000 6.1799 3.4986 0.0000 0.0000 0.0000 5.7375" Properties=species:S:1:pos:R:3 pbc="T T T"
In 6.1799 2.4299 1.2589
In 6.1799 -2.4299 4.1276
Pd 2.1462 -0.0007 2.6945
Pd 10.2137 -0.0007 2.6945
Pd 6.1799 0.0015 2.6946
Pd 2.1462 0.0007 5.5633
Pd 10.2137 0.0007 5.5633
Pd 6.1799 -0.0015 5.5634
Sb 4.1797 -1.1860 1.2609
Sb 8.1802 -1.1860 1.2609
Sb 4.1797 1.1860 4.1297
Sb 8.1802 1.1860 4.1297
```

Calculated values
space group: Cmcm
crystal system: orthorhombic
uncorrected energy: -58.716 eV for the cell shown


(4)
# ScInPd2

ScInPd2 after structural relaxation (GGA-PBE, the Open Quantum Materials Database).

```
16
Lattice="6.4837 0.0000 0.0000 0.0000 6.4952 0.0000 0.0000 0.0000 6.7772" Properties=species:S:1:pos:R:3 pbc="T T T"
In 1.6209 1.6238 0.0000
In 4.8628 4.8714 0.0000
In 1.6209 1.6238 3.3886
In 4.8627 4.8714 3.3886
Pd 3.2419 0.0000 1.6943
Pd 3.2419 3.2476 1.6943
Pd 0.0000 0.0000 1.6943
Pd 0.0000 3.2476 1.6943
Pd 0.0000 0.0000 5.0829
Pd 0.0000 3.2476 5.0829
Pd 3.2418 3.2476 5.0829
Pd 3.2418 0.0000 5.0829
Sc 4.8628 1.6238 0.0000
Sc 1.6209 4.8714 0.0000
Sc 1.6209 4.8714 3.3885
Sc 4.8627 1.6238 3.3886
```

Calculated values
space group: Cmmm
crystal system: orthorhombic
uncorrected energy: -89.517 eV for the cell shown


(5)
# Sc5In4Pd

Sc5In4Pd after structural relaxation (GGA-PBE, the Open Quantum Materials Database).

```
10
Lattice="-0.6587 -2.4052 2.1735 2.5404 0.9948 1.8708 -12.0838 12.2508 9.8942" Properties=species:S:1:pos:R:3 pbc="T T T"
In -2.2621 2.2934 1.8522
In -4.7798 4.8458 3.9137
In -7.3040 7.4049 5.9805
In -9.8217 9.9574 8.0420
Pd 0.0000 0.0000 0.0000
Sc -0.0513 0.3006 2.8345
Sc -2.5753 2.8596 4.9012
Sc -5.1011 5.4202 6.9692
Sc -7.6268 7.9809 9.0373
Sc -10.1509 10.5398 11.1040
```

Calculated values
space group: P4/mmm
crystal system: tetragonal
uncorrected energy: -53.064 eV for the cell shown


(6)
# ScInPd2

ScInPd2 after structural relaxation (GGA-PBE, the Open Quantum Materials Database).

```
4
Lattice="4.6058 0.0000 0.0000 0.0000 4.6058 0.0000 0.0000 0.0000 3.3681" Properties=species:S:1:pos:R:3 pbc="T T T"
In 0.0000 0.0000 0.0000
Pd 2.3029 0.0000 1.6840
Pd 0.0000 2.3029 1.6840
Sc 2.3029 2.3029 0.0000
```

Calculated values
space group: P4/mmm
crystal system: tetragonal
uncorrected energy: -22.380 eV for the cell shown


(7)
# ScInPd2

ScInPd2 after structural relaxation (GGA-PBE, the Open Quantum Materials Database).

```
4
Lattice="2.5963 -3.8486 -0.2152 3.0362 -0.9473 3.3887 -0.8095 -3.5160 2.9294" Properties=species:S:1:pos:R:3 pbc="T T T"
In 2.4115 -4.1559 3.0515
Pd 0.0000 0.0000 0.0000
Pd 3.6172 -6.2339 4.5772
Sc 1.2057 -2.0780 1.5257
```

Calculated values
space group: F-43m
crystal system: cubic
uncorrected energy: -21.756 eV for the cell shown


(8)
# Sc2InPd2

Sc2InPd2 after structural relaxation (GGA-PBE, the Open Quantum Materials Database).

```
20
Lattice="-0.2406 -4.7636 -5.8415 4.3066 -4.8834 3.8049 -5.5340 -2.8756 2.5730" Properties=species:S:1:pos:R:3 pbc="T T T"
In -1.5038 -3.1007 -2.2775
In 0.7698 -3.1606 2.5457
In -4.2709 -4.5385 -0.9910
In -1.9972 -4.5984 3.8322
Pd 0.1410 -5.4835 -1.6695
Pd 1.3249 -5.5147 0.8420
Pd -0.9376 -2.0181 0.4169
Pd 2.0698 -9.1535 -1.0894
Pd -3.5378 -3.3692 1.6259
Pd -0.5304 -10.5046 0.1196
Pd -2.7929 -7.0080 -0.3055
Pd -1.6090 -7.0392 2.2060
Sc 0.4963 -4.7830 -4.2781
Sc 1.3098 -3.1076 -0.6560
Sc 2.7562 -6.5395 -1.3805
Sc 3.5697 -4.8640 2.2416
Sc -2.1988 -6.2227 -2.8391
Sc -1.3930 -4.6979 0.5983
Sc -0.0751 -7.8248 -0.0618
Sc 0.7308 -6.2999 3.3756
```

Calculated values
space group: P4_2/mnm
crystal system: tetragonal
uncorrected energy: -119.477 eV for the cell shown


(9)
# ScInPd2

ScInPd2 after structural relaxation (GGA-PBE, the Open Quantum Materials Database).

```
4
Lattice="-1.2152 0.5647 3.0827 -2.7764 -1.7276 -0.7780 2.7558 -5.3603 2.0683" Properties=species:S:1:pos:R:3 pbc="T T T"
In 0.0000 0.0000 0.0000
Pd -1.2891 -1.9560 1.6827
Pd 0.0533 -4.5671 2.6902
Sc 1.3779 -2.6801 1.0342
```

Calculated values
space group: P4/mmm
crystal system: tetragonal
uncorrected energy: -22.460 eV for the cell shown


(10)
# ScInPd2

ScInPd2 after structural relaxation (GGA-PBE, the Open Quantum Materials Database).

```
24
Lattice="4.6460 0.0000 0.0000 0.0000 6.5564 0.0000 0.0000 0.0000 13.9508" Properties=species:S:1:pos:R:3 pbc="T T T"
In 0.0000 0.0000 0.0000
In 2.3231 3.2782 2.3249
In 0.0000 0.0000 4.6506
In 2.3230 3.2782 6.9754
In 0.0000 0.0000 9.3003
In 2.3229 3.2782 11.6259
Pd 2.3230 1.6406 0.0000
Pd 2.3230 4.9158 0.0000
Pd 0.0000 1.6372 2.3252
Pd 0.0000 4.9192 2.3252
Pd 2.3231 1.6410 4.6502
Pd 2.3231 4.9154 4.6502
Pd 0.0000 1.6376 6.9754
Pd 0.0000 4.9188 6.9754
Pd 2.3229 1.6410 9.3007
Pd 2.3229 4.9154 9.3007
Pd 0.0000 1.6372 11.6256
Pd 0.0000 4.9192 11.6256
Sc 0.0000 3.2782 0.0000
Sc 2.3233 0.0000 2.3253
Sc 0.0000 3.2782 4.6501
Sc 2.3230 0.0000 6.9754
Sc 0.0000 3.2782 9.3007
Sc 2.3227 0.0000 11.6255
```

Calculated values
space group: I4/mmm
crystal system: tetragonal
uncorrected energy: -136.587 eV for the cell shown


(11)
# Sc3InPd2

Sc3InPd2 after structural relaxation (GGA-PBE, the Open Quantum Materials Database).

```
6
Lattice="-2.7690 0.5768 1.7496 1.4258 -1.3292 2.6947 3.7274 9.5654 2.7459" Properties=species:S:1:pos:R:3 pbc="T T T"
In 1.8637 4.7827 1.3730
Pd 0.5867 1.5056 0.4322
Pd 3.1407 8.0597 2.3137
Sc -0.6716 -0.3762 2.2222
Sc 0.4736 2.5627 3.0658
Sc 1.9106 6.2503 4.1244
```

Calculated values
space group: P4/mmm
crystal system: tetragonal
uncorrected energy: -36.585 eV for the cell shown


(12)
# ScInPdSe3

ScInPdSe3 after structural relaxation (GGA-PBE, the Open Quantum Materials Database).

```
12
Lattice="-5.8479 3.9396 1.1029 3.4405 -4.9783 -3.7834 -3.7446 -7.2908 6.1883" Properties=species:S:1:pos:R:3 pbc="T T T"
In -4.6549 0.0727 1.5299
In -1.4970 -8.4022 1.9779
Pd -1.8762 -2.5952 0.0681
Pd -4.2758 -5.7343 3.4397
Sc 0.0000 0.0000 0.0000
Sc -1.8723 -3.6454 3.0941
Se -0.0951 -2.1219 -1.7148
Se 1.6477 -5.9785 -1.7856
Se -1.5971 -5.0464 0.7674
Se -4.5548 -3.2831 2.7404
Se -7.7997 -2.3510 5.2934
Se -6.0568 -6.2076 5.2226
```

Calculated values
space group: Cmcm
crystal system: orthorhombic
uncorrected energy: -59.264 eV for the cell shown


(13)
# Sc3Tl2InPd2

Sc3Tl2InPd2 after structural relaxation (GGA-PBE, the Open Quantum Materials Database).

```
8
Lattice="3.3691 0.0000 0.0000 0.0000 6.5882 3.7718 0.0000 -6.5882 3.7718" Properties=species:S:1:pos:R:3 pbc="T T T"
In 0.0000 0.0000 5.7280
Pd 0.0000 2.1728 3.7894
Pd 0.0000 -2.1728 3.7894
Sc 1.6845 0.0000 3.1368
Sc 1.6845 2.7199 5.9787
Sc 1.6845 -2.7199 5.9787
Tl 0.0000 5.0085 4.6584
Tl 0.0000 -5.0085 4.6584
```

Calculated values
space group: Amm2
crystal system: orthorhombic
uncorrected energy: -41.492 eV for the cell shown


(14)
# Sc2TlInPd4

Sc2TlInPd4 after structural relaxation (GGA-PBE, the Open Quantum Materials Database).

```
8
Lattice="4.6589 0.0000 0.0000 0.0000 4.6589 0.0000 0.0000 0.0000 6.6039" Properties=species:S:1:pos:R:3 pbc="T T T"
In 0.0000 0.0000 0.0000
Pd 2.3294 0.0000 1.6180
Pd 0.0000 2.3294 1.6180
Pd 2.3294 0.0000 4.9859
Pd 0.0000 2.3294 4.9859
Sc 2.3294 2.3294 0.0000
Sc 0.0000 0.0000 3.3019
Tl 2.3294 2.3294 3.3019
```

Calculated values
space group: P4/mmm
crystal system: tetragonal
uncorrected energy: -44.343 eV for the cell shown


(15)
# Tm2ScIn3Pd2

Tm2ScIn3Pd2 after structural relaxation (GGA-PBE, the Open Quantum Materials Database).

```
8
Lattice="-2.3593 0.4834 2.5994 3.9901 -4.6659 4.4893 1.4742 7.4613 -0.0496" Properties=species:S:1:pos:R:3 pbc="T T T"
In 0.1263 0.9098 2.3608
In 3.9177 1.3109 5.7274
In 3.3406 4.0926 4.6862
Pd 1.9707 -0.3380 4.2668
Pd 1.1487 3.6241 2.7839
Sc 3.1769 1.6252 2.5812
Tm 4.6037 -1.5500 4.4667
Tm 3.1388 5.5108 1.8240
```

Calculated values
space group: Amm2
crystal system: orthorhombic
uncorrected energy: -39.522 eV for the cell shown


(16)
# TmSc2In3Pd2

TmSc2In3Pd2 after structural relaxation (GGA-PBE, the Open Quantum Materials Database).

```
8
Lattice="3.4741 0.0000 0.0000 0.0000 6.5370 3.7847 0.0000 -6.5370 3.7847" Properties=species:S:1:pos:R:3 pbc="T T T"
In 1.7371 4.9657 4.6558
In 1.7371 0.0000 5.8211
In 1.7371 -4.9657 4.6558
Pd 1.7371 2.2183 3.7937
Pd 1.7371 -2.2183 3.7937
Sc 0.0000 2.7354 5.9836
Sc 0.0000 -2.7354 5.9836
Tm 0.0000 0.0000 3.1599
```

Calculated values
space group: Amm2
crystal system: orthorhombic
uncorrected energy: -41.267 eV for the cell shown


(17)
# In4Pd17Se4

In4Pd17Se4 after structural relaxation (GGA-PBE, the Open Quantum Materials Database).

```
25
Lattice="-7.2376 7.2376 2.0056 7.2376 -7.2376 2.0056 7.2376 7.2376 -2.0056" Properties=species:S:1:pos:R:3 pbc="T T T"
In -1.6729 2.3395 2.0056
In 2.3395 1.6729 2.0056
In 4.8981 5.5647 0.0000
In 8.9105 4.8981 0.0000
Pd 0.0000 0.0000 2.0056
Pd -3.5951 4.5638 2.0056
Pd -5.2590 6.9299 2.0056
Pd 0.3077 1.9786 0.0000
Pd 5.9127 -2.8667 2.0056
Pd 3.9407 -0.6536 2.0056
Pd 0.6536 3.9407 2.0056
Pd 4.3710 1.3250 0.0000
Pd 2.6738 3.6425 0.0000
Pd 4.5638 3.5951 2.0056
Pd 2.8667 5.9127 2.0056
Pd 6.5840 3.2969 0.0000
Pd 3.2969 7.8912 0.0000
Pd 1.3250 10.1043 0.0000
Pd 6.9299 5.2591 2.0056
Pd 12.4967 0.3077 0.0000
Pd 10.8327 2.6738 0.0000
Se -1.7613 6.2077 2.0056
Se 1.0299 5.4763 0.0000
Se 6.2077 1.7613 2.0056
Se 8.9989 1.0299 0.0000
```

Calculated values
space group: I4/m
crystal system: tetragonal
uncorrected energy: -122.849 eV for the cell shown


(18)
# In2Pd8Se

In2Pd8Se after structural relaxation (GGA-PBE, the Open Quantum Materials Database).

```
11
Lattice="-1.2404 3.4319 -1.7454 -2.7168 0.5192 2.9517 7.4658 5.6848 5.8718" Properties=species:S:1:pos:R:3 pbc="T T T"
In -0.6547 2.9836 1.6444
In 4.1633 6.6523 5.4337
Pd -0.6202 1.7159 -0.8727
Pd -1.3584 0.2596 1.4758
Pd 1.3403 1.0205 1.0541
Pd 2.0669 3.7620 1.2407
Pd 1.3287 2.3057 3.5893
Pd 4.1585 5.3546 2.8857
Pd 3.4203 3.8983 5.2342
Pd 6.1256 4.6643 4.8177
Se 3.7329 2.8424 2.9359
```

Calculated values
space group: P4/mmm
crystal system: tetragonal
uncorrected energy: -54.899 eV for the cell shown


(19)
# In10PdSe10

In10PdSe10 after structural relaxation (GGA-PBE, the Open Quantum Materials Database).

```
42
Lattice="7.7618 0.0000 0.0000 0.0000 12.0588 0.0000 0.0000 0.0000 12.5676" Properties=species:S:1:pos:R:3 pbc="T T T"
In 1.8415 0.0000 0.0000
In 5.9203 0.0000 0.0000
In 1.9547 4.5866 1.1100
In 5.8070 4.5866 1.1100
In 3.8809 7.9970 1.8362
In 0.0000 7.7874 2.7843
In 0.0000 1.7580 3.4994
In 3.8809 1.9676 4.4475
In 1.9547 10.6160 5.1737
In 5.8070 10.6160 5.1737
In 1.8415 6.0294 6.2838
In 5.9203 6.0294 6.2838
In 1.9547 1.4428 7.3938
In 5.8070 1.4428 7.3938
In 3.8809 10.0912 8.1200
In 0.0000 10.3008 9.0681
In 0.0000 4.2714 9.7832
In 3.8809 4.0618 10.7313
In 1.9547 7.4722 11.4575
In 5.8070 7.4722 11.4575
Pd 3.8809 6.0294 0.0000
Pd 3.8809 0.0000 6.2838
Se 0.0000 8.7541 0.4063
Se 3.8809 10.7160 1.4461
Se 2.2183 2.0546 2.1954
Se 5.5435 2.0546 2.1954
Se 0.0000 5.1581 2.8884
Se 0.0000 11.1875 3.3954
Se 2.2183 8.0840 4.0883
Se 5.5435 8.0840 4.0883
Se 3.8809 4.6866 4.8377
Se 0.0000 2.7247 5.8775
Se 0.0000 9.3341 6.6901
Se 3.8809 7.3721 7.7299
Se 2.2183 3.9748 8.4792
Se 5.5435 3.9748 8.4792
Se 0.0000 0.8713 9.1721
Se 0.0000 6.9006 9.6792
Se 2.2183 10.0042 10.3721
Se 5.5435 10.0042 10.3721
Se 3.8809 1.3427 11.1215
Se 0.0000 3.3047 12.1613
```

Calculated values
space group: Pbam
crystal system: orthorhombic
uncorrected energy: -153.929 eV for the cell shown